No. 1
The following is a PBE calculation of an optimized crystal structure of BaPmSn2Au2, from Alexandria via LeMat-Bulk.

Cell lengths 4.872, 4.872, 8.293 Å; angles 90.00, 90.00, 120.00 degrees
Sites, in units of the cell vectors:
1 Ba 0.000 0.000 0.000
2 Pm 0.000 0.000 0.500
3 Sn 0.333 0.667 0.712
4 Sn 0.667 0.333 0.288
5 Au 0.333 0.667 0.315
6 Au 0.667 0.333 0.685

Properties
ρ = 8.90 g/cm3
ΔH_f (0 K) = -0.773 eV per atom
SG = P-3m1


No. 2
The following is a PBE calculation of an optimized crystal structure of Li2TcSn2, from Alexandria via LeMat-Bulk.

Cell lengths 7.371, 7.371, 3.292 Å; angles 90.00, 90.00, 90.00 degrees
Sites, in units of the cell vectors:
1 Li 0.148 0.352 0.000
2 Li 0.352 0.852 0.000
3 Li 0.648 0.148 0.000
4 Li 0.852 0.648 0.000
5 Tc 0.000 0.000 0.500
6 Tc 0.500 0.500 0.500
7 Sn 0.155 0.655 0.500
8 Sn 0.345 0.155 0.500
9 Sn 0.655 0.845 0.500
10 Sn 0.845 0.345 0.500

Properties
ρ = 6.49 g/cm3
ΔH_f (0 K) = 0.077 eV per atom
SG = P4/mbm


No. 3
The following is a PBE calculation of an optimized crystal structure of Cu2PPt2, from Alexandria via LeMat-Bulk.

Cell lengths 6.205, 6.205, 3.922 Å; angles 90.00, 90.00, 90.00 degrees
Sites, in units of the cell vectors:
1 Cu 0.143 0.357 0.000
2 Cu 0.357 0.857 0.000
3 Cu 0.643 0.143 0.000
4 Cu 0.857 0.643 0.000
5 P 0.000 0.000 0.500
6 P 0.500 0.500 0.500
7 Pt 0.160 0.660 0.500
8 Pt 0.340 0.160 0.500
9 Pt 0.660 0.840 0.500
10 Pt 0.840 0.340 0.500

Properties
ρ = 12.06 g/cm3
ΔH_f (0 K) = -0.065 eV per atom
SG = P4/mbm


no.,final energy (eV per cell)
1,-25.87
2,-43.63
3,-52.01